one) ## LaSc2Ga2 (GGA-PBE)

Data for a geometry-optimized LaSc2Ga2 structure.

Output
**Magnetic moment**: 0.0 μB per cell
**SG**: I4/mmm (139)
**Density**: 4.804 g/cm3

Lattice parameters (Å, degrees): 4.761 4.761 6.547 68.68 68.68 90.00
Atoms (fractional coordinates):
Sc1 0.640 0.640 0.720
La1 0.000 0.000 0.000
Sc2 0.360 0.360 0.280
Ga1 0.250 0.750 0.500
Ga2 0.750 0.250 0.500

two) ## LaSc2Ga2 (GGA-PBE)

Data for a geometry-optimized LaSc2Ga2 structure.

Output
**Magnetic moment**: 0.0 μB per cell
**SG**: P4/mbm (127)
**Density**: 5.507 g/cm3

Lattice parameters (Å, degrees): 8.435 8.435 3.121 90.00 90.00 90.00
Atoms (fractional coordinates):
La1 0.000 0.000 0.000
Sc1 0.873 0.627 0.000
Ga1 0.171 0.671 0.500
Ga2 0.671 0.829 0.500
Sc2 0.127 0.373 0.000
Sc3 0.627 0.127 0.000
La2 0.500 0.500 0.000
Sc4 0.373 0.873 0.000
Ga3 0.329 0.171 0.500
Ga4 0.829 0.329 0.500

three) ## LaSc2Ga2 (GGA-PBE)

Data for a geometry-optimized LaSc2Ga2 structure.

Output
**Magnetic moment**: 0.0 μB per cell
**SG**: I4/mmm (139)
**Density**: 5.035 g/cm3

Lattice parameters (Å, degrees): 4.437 4.437 6.922 71.31 71.31 90.00
Atoms (fractional coordinates):
Ga1 0.603 0.603 0.794
Sc1 0.750 0.250 0.500
La1 0.000 0.000 0.000
Ga2 0.397 0.397 0.206
Sc2 0.250 0.750 0.500

four) ## LaSc2Ga2 (GGA-PBE)

Data for a geometry-optimized LaSc2Ga2 structure.

Output
**Magnetic moment**: 0.0 μB per cell
**SG**: Fddd (70)
**Density**: 4.510 g/cm3

Lattice parameters (Å, degrees): 6.472 6.472 8.047 102.40 102.40 117.78
Atoms (fractional coordinates):
Sc1 0.520 0.770 0.039
Ga1 0.586 0.914 0.750
Sc2 0.730 0.980 0.461
La1 0.125 0.375 0.250
Ga2 0.414 0.086 0.250
Sc3 0.480 0.230 0.961
Ga3 0.836 0.664 0.250
Sc4 0.270 0.020 0.539
Ga4 0.164 0.336 0.750
La2 0.875 0.625 0.750

Which one is most stable, and which one is least stable? three) is the most stable of them, while four) is the least stable.

one) ## La2ScGa2 (GGA-PBE)

Data for a geometry-optimized La2ScGa2 structure.

Output
**Magnetic moment**: 0.0 μB per cell
**SG**: C2/m (12)
**Density**: 5.668 g/cm3

Lattice parameters (Å, degrees): 4.628 6.382 10.112 83.64 76.77 68.74
Atoms (fractional coordinates):
La1 0.314 0.267 0.106
La2 0.481 0.355 0.684
La3 0.686 0.733 0.894
Sc1 0.783 0.058 0.376
Ga1 0.129 0.308 0.434
Ga2 0.871 0.692 0.566
Ga3 0.984 0.139 0.892
Sc2 0.217 0.942 0.624
Ga4 0.016 0.861 0.108
La4 0.519 0.645 0.316

two) ## La2ScGa2 (GGA-PBE)

Data for a geometry-optimized La2ScGa2 structure.

Output
**Magnetic moment**: 0.0 μB per cell
**SG**: P4/mbm (127)
**Density**: 5.666 g/cm3

Lattice parameters (Å, degrees): 7.659 7.659 4.618 90.00 90.00 90.00
Atoms (fractional coordinates):
Ga1 0.624 0.124 0.000
Ga2 0.124 0.376 0.000
La1 0.174 0.674 0.500
Sc1 0.500 0.500 0.000
La2 0.326 0.174 0.500
Sc2 0.000 0.000 0.000
La3 0.826 0.326 0.500
Ga3 0.376 0.876 0.000
Ga4 0.876 0.624 0.000
La4 0.674 0.826 0.500

Which one is most stable, and which one is least stable? one) is the most stable of them, while two) is the least stable.

one) ## La2Sc3Ga4 (GGA-PBE)

Data for a geometry-optimized La2Sc3Ga4 structure.

Output
**Magnetic moment**: 0.0 μB per cell
**SG**: Cmce (64)
**Density**: 5.314 g/cm3

Lattice parameters (Å, degrees): 6.583 8.332 8.541 90.00 112.67 90.00
Atoms (fractional coordinates):
Sc1 0.500 0.500 0.000
Sc2 0.466 0.250 0.431
Sc3 0.034 0.750 0.569
Ga1 0.684 0.539 0.368
La1 0.110 0.580 0.221
Sc4 0.966 0.250 0.431
Ga2 0.710 0.750 0.920
Ga3 0.290 0.250 0.080
Ga4 0.790 0.250 0.080
Ga5 0.816 0.039 0.632
La2 0.610 0.920 0.221
La3 0.890 0.420 0.779
Ga6 0.210 0.750 0.920
Ga7 0.184 0.961 0.368
Ga8 0.316 0.461 0.632
Sc5 0.000 0.000 0.000
La4 0.390 0.080 0.779
Sc6 0.534 0.750 0.569

two) ## La2Sc3Ga4 (GGA-PBE)

Data for a geometry-optimized La2Sc3Ga4 structure.

Output
**Magnetic moment**: 0.0 μB per cell
**SG**: P2_1/c (14)
**Density**: 5.352 g/cm3

Lattice parameters (Å, degrees): 7.504 7.780 7.732 90.00 90.00 108.06
Atoms (fractional coordinates):
Ga1 0.372 0.500 0.380
La1 0.072 0.191 0.173
La2 0.928 0.809 0.827
Ga2 0.372 0.082 0.960
Ga3 0.128 0.500 0.880
La3 0.572 0.191 0.327
Sc1 0.750 0.749 0.326
Sc2 0.500 0.500 0.000
Ga4 0.128 0.918 0.460
Sc3 0.250 0.251 0.674
Sc4 0.250 0.749 0.174
Ga5 0.872 0.082 0.540
Sc5 0.750 0.251 0.826
Sc6 0.000 0.500 0.500
Ga6 0.628 0.500 0.620
Ga7 0.872 0.500 0.120
Ga8 0.628 0.918 0.040
La4 0.428 0.809 0.673

Which one is most stable, and which one is least stable? two) is the most stable of them, while one) is the least stable.

one) ## La2GaSe2 (GGA-PBE)

Data for a geometry-optimized La2GaSe2 structure.

Output
**Magnetic moment**: 0.0 μB per cell
**SG**: P4/mbm (127)
**Density**: 6.302 g/cm3

Lattice parameters (Å, degrees): 8.234 8.234 3.928 90.00 90.00 90.00
Atoms (fractional coordinates):
La1 0.840 0.340 0.500
La2 0.660 0.840 0.500
Se1 0.642 0.142 0.000
Se2 0.358 0.858 0.000
La3 0.340 0.160 0.500
Se3 0.858 0.642 0.000
La4 0.160 0.660 0.500
Ga1 0.000 0.000 0.000
Ga2 0.500 0.500 0.000
Se4 0.142 0.358 0.000

two) ## La2GaSe2 (GGA-PBE)

Data for a geometry-optimized La2GaSe2 structure.

Output
**Magnetic moment**: 0.0 μB per cell
**SG**: P4/mbm (127)
**Density**: 6.062 g/cm3

Lattice parameters (Å, degrees): 8.356 8.356 3.966 90.00 90.00 90.00
Atoms (fractional coordinates):
Ga1 0.500 0.500 0.000
La1 0.337 0.837 0.000
La2 0.163 0.337 0.000
Se1 0.858 0.358 0.500
La3 0.663 0.163 0.000
Se2 0.642 0.858 0.500
Ga2 0.000 0.000 0.000
Se3 0.142 0.642 0.500
La4 0.837 0.663 0.000
Se4 0.358 0.142 0.500

Which one is most stable, and which one is least stable? one) is the most stable of them, while two) is the least stable.